Entry from Alexandria via LeMat-Bulk: an optimized crystal structure of Pm4P6Rh7 (PBE).

Structure (POSCAR):
```
Pm4P6Rh7
1.0
-3.4364 -2.4060 5.8705
-3.9046 -1.5340 -5.8703
6.4466 -3.2025 -0.4949
Rh P Pm
7 6 4
Direct
0.2500 0.7500 0.5000 Rh
0.7500 0.5000 0.2500 Rh
0.0000 0.0000 0.0000 Rh
0.7500 0.2500 0.5000 Rh
0.5000 0.7500 0.2500 Rh
0.2500 0.5000 0.7500 Rh
0.5000 0.2500 0.7500 Rh
0.3293 0.0000 0.3293 P
0.0000 0.6707 0.6707 P
0.6707 0.0000 0.6707 P
0.3293 0.3293 0.0000 P
0.0000 0.3293 0.3293 P
0.6707 0.6707 0.0000 P
0.0000 0.5000 0.0000 Pm
0.0000 0.0000 0.5000 Pm
0.5000 0.5000 0.5000 Pm
0.5000 0.0000 0.0000 Pm
```

Fermi-level density of states = 6.83 states/eV per cell
VASP energy = -7.091 eV/atom
SG = No. 229
energy of formation = -1.04 eV/atom


Entry from Alexandria via LeMat-Bulk: an optimized crystal structure of Pm2P3Rh6 (PBE).

Structure (POSCAR):
```
Pm2P3Rh6
1.0
-2.4271 2.8674 1.8365
-2.6358 -5.0143 4.3457
5.8057 3.6890 1.9129
Rh P Pm
6 3 2
Direct
0.5000 0.7090 0.7090 Rh
0.0000 0.2195 0.2195 Rh
0.0000 0.7805 0.0000 Rh
0.5000 0.2910 0.0000 Rh
0.0000 0.0000 0.7805 Rh
0.5000 0.0000 0.2910 Rh
0.5000 0.0000 0.6239 P
0.5000 0.6239 0.0000 P
0.5000 0.3761 0.3761 P
0.0000 0.6667 0.3333 Pm
0.0000 0.3333 0.6667 Pm
```

Fermi-level density of states = 6.22 states/eV per cell
VASP energy = -7.245 eV/atom
SG = No. 189
energy of formation = -0.90 eV/atom


Entry from Alexandria via LeMat-Bulk: an optimized crystal structure of PmPRh (PBE).

Structure (POSCAR):
```
PmPRh
1.0
4.0943 0.0000 0.0000
0.0000 4.0894 0.0000
0.0000 -2.0447 3.5415
Pm Rh P
1 1 1
Direct
0.6666 0.6667 0.3333 Pm
0.1666 0.3333 0.6667 Rh
0.1668 0.0000 0.0000 P
```

Fermi-level density of states = 1.61 states/eV per cell
VASP energy = -7.037 eV/atom
SG = No. 187
energy of formation = -1.20 eV/atom
distance to the lowest polymorph of the same formula = 49.3 meV/atom


Entry from Alexandria via LeMat-Bulk: an optimized crystal structure of Pm4PRh4 (PBE).

Structure (POSCAR):
```
Pm4PRh4
1.0
-0.4948 0.7803 5.5810
-6.6096 -5.2814 0.1524
5.2315 -6.5075 1.3736
Pm Rh P
8 8 2
Direct
0.3558 0.2841 0.9395 Pm
0.3558 0.7159 0.0605 Pm
0.1442 0.2159 0.5605 Pm
0.6442 0.9395 0.7159 Pm
0.6442 0.0605 0.2841 Pm
0.8558 0.5605 0.7841 Pm
0.1442 0.7841 0.4395 Pm
0.8558 0.4395 0.2159 Pm
0.8509 0.7753 0.1025 Rh
0.6491 0.7247 0.3975 Rh
0.1491 0.8975 0.7753 Rh
0.3509 0.3975 0.2753 Rh
0.3509 0.6025 0.7247 Rh
0.1491 0.1025 0.2247 Rh
0.8509 0.2247 0.8975 Rh
0.6491 0.2753 0.6025 Rh
0.0000 0.0000 0.0000 P
0.5000 0.5000 0.5000 P
```

Fermi-level density of states = 10.29 states/eV per cell
VASP energy = -6.757 eV/atom
SG = No. 86
energy of formation = -0.78 eV/atom


Entry from Alexandria via LeMat-Bulk: an optimized crystal structure of Pm3P4Rh7 (PBE).

Structure (POSCAR):
```
Pm3P4Rh7
1.0
3.8718 0.0000 0.9768
1.4147 7.2889 2.5546
-0.0095 0.0129 8.1999
P Pm Rh
4 3 7
Direct
0.8910 0.8915 0.3265 P
0.3339 0.5547 0.7775 P
0.6661 0.4453 0.2225 P
0.1090 0.1085 0.6735 P
0.3278 0.1741 0.1702 Pm
0.6722 0.8259 0.8298 Pm
0.0000 0.5000 0.5000 Pm
0.5060 0.7572 0.2308 Rh
0.1687 0.5837 0.0790 Rh
0.8313 0.4163 0.9210 Rh
0.4940 0.2428 0.7692 Rh
0.0000 0.0000 0.0000 Rh
0.6979 0.1493 0.4550 Rh
0.3021 0.8507 0.5450 Rh
```

Fermi-level density of states = 8.77 states/eV per cell
VASP energy = -7.261 eV/atom
SG = No. 12
energy of formation = -1.02 eV/atom


Entry from Alexandria via LeMat-Bulk: an optimized crystal structure of Pm2P3Rh5 (PBE).

Structure (POSCAR):
```
Pm2P3Rh5
1.0
3.9227 0.0000 -0.6682
0.0000 6.5783 0.0000
0.2016 0.0000 13.0314
P Rh Pm
6 10 4
Direct
0.6113 0.5232 0.2226 P
0.3887 0.0232 0.7774 P
0.9451 0.4848 0.8902 P
0.2145 0.1920 0.4289 P
0.7855 0.6920 0.5711 P
0.0549 0.9848 0.1098 P
0.1207 0.2339 0.2415 Rh
0.3074 0.8773 0.6147 Rh
0.0670 0.6193 0.1340 Rh
0.4047 0.4041 0.8094 Rh
0.7347 0.9988 0.4695 Rh
0.2653 0.4988 0.5305 Rh
0.9330 0.1193 0.8660 Rh
0.8793 0.7339 0.7585 Rh
0.5953 0.9041 0.1906 Rh
0.6926 0.3773 0.3853 Rh
0.4804 0.7824 0.9608 Pm
0.5196 0.2824 0.0392 Pm
0.1781 0.7488 0.3562 Pm
0.8219 0.2488 0.6438 Pm
```

Fermi-level density of states = 11.53 states/eV per cell
VASP energy = -7.163 eV/atom
SG = No. 36
energy of formation = -0.91 eV/atom